1.
PaIn2Ag PBE optimized geometry; crystal system = tetragonal; polymorph energy (0 for the lowest one) = 64.7 meV per atom; size of the total moment = 1.03 μB per cell; ΔH_f (0 K) = 0.0465 eV per atom; DOS(E_F) = 6.11 states/eV/cell
1.0
4.608 0.000 0.000
0.000 4.608 0.000
0.000 0.000 4.542
Pa In Ag
1 2 1
direct
0.000 0.000 0.000
0.000 0.500 0.500
0.500 0.000 0.500
0.500 0.500 0.000

2.
NpGa4CoPt2 PBE optimized geometry; crystal system = trigonal; size of the total moment = 3.70 μB per cell; ΔH_f (0 K) = -0.4054 eV per atom; DOS(E_F) = 9.65 states/eV/cell
1.0
2.119 1.224 8.610
-2.119 1.224 8.610
0.000 -2.447 8.610
Np Ga Co Pt
1 4 1 2
direct
0.000 0.000 0.000
0.134 0.134 0.134
0.399 0.399 0.399
0.601 0.601 0.601
0.866 0.866 0.866
0.500 0.500 0.500
0.235 0.235 0.235
0.765 0.765 0.765

3.
ScTcMo2 PBE optimized geometry; crystal system = monoclinic; polymorph energy (0 for the lowest one) = 130.8 meV per atom; size of the total moment = 0.00 μB per cell; ΔH_f (0 K) = 0.0222 eV per atom; DOS(E_F) = 3.18 states/eV/cell
1.0
2.698 -4.535 0.000
2.698 4.535 0.000
-0.895 0.000 2.658
Sc Tc Mo
1 1 2
direct
0.000 0.000 0.000
0.500 0.500 0.000
0.000 0.500 0.500
0.500 0.000 0.500

4.
CaScTe2 PBE optimized geometry; crystal system = tetragonal; polymorph energy (0 for the lowest one) = 305.4 meV per atom; size of the total moment = 1.98 μB per cell; formation energy (no corrections) = -1.045 eV/atom; DOS(E_F) = 5.63 states/eV/cell
1.0
-3.445 3.445 6.672
3.445 -3.445 6.672
3.445 3.445 -6.672
Ca Sc Te
2 2 4
direct
0.000 0.000 0.000
0.750 0.250 0.500
0.250 0.750 0.500
0.500 0.500 0.000
0.152 0.625 0.027
0.375 0.402 0.527
0.598 0.125 0.973
0.875 0.848 0.473

5.
SmThCo10 PBE optimized geometry; crystal system = orthorhombic; size of the total moment = 13.06 μB per cell; ΔH_f (0 K) = -0.1035 eV per atom; DOS(E_F) = 18.22 states/eV/cell
1.0
3.980 0.000 0.000
0.000 4.946 0.000
0.000 0.000 8.616
Sm Th Co
1 1 10
direct
0.000 0.000 0.000
0.000 0.500 0.500
0.000 0.000 0.336
0.000 0.000 0.664
0.000 0.500 0.176
0.000 0.500 0.824
0.500 0.000 0.500
0.500 0.245 0.246
0.500 0.245 0.754
0.500 0.500 0.000
0.500 0.755 0.246
0.500 0.755 0.754

6.
K3Tm3PuO8 PBE optimized geometry; crystal system = trigonal; size of the total moment = 4.00 μB per cell; formation energy (no corrections) = -2.854 eV/atom; DOS(E_F) = 3.66 states/eV/cell
1.0
3.429 1.980 6.329
-3.429 1.980 6.329
0.000 -3.959 6.329
K Tm Pu O
3 3 1 8
direct
0.000 0.500 0.500
0.500 0.000 0.500
0.500 0.500 0.000
0.000 0.000 0.500
0.000 0.500 0.000
0.500 0.000 0.000
0.500 0.500 0.500
0.226 0.226 0.226
0.231 0.722 0.722
0.278 0.278 0.769
0.278 0.769 0.278
0.722 0.231 0.722
0.722 0.722 0.231
0.769 0.278 0.278
0.774 0.774 0.774

7.
KIn2Pd PBE optimized geometry; crystal system = trigonal; size of the total moment = 0.00 μB per cell; ΔH_f (0 K) = -0.2707 eV per atom; DOS(E_F) = 1.84 states/eV/cell
1.0
2.367 1.367 6.287
-2.367 1.367 6.287
0.000 -2.733 6.287
K In Pd
1 2 1
direct
0.000 0.000 0.000
0.198 0.198 0.198
0.465 0.465 0.465
0.820 0.820 0.820

8.
Tb2Zn3Pt4 PBE optimized geometry; crystal system = orthorhombic; size of the total moment = 0.00 μB per cell; ΔH_f (0 K) = -0.9016 eV per atom; DOS(E_F) = 7.57 states/eV/cell
1.0
2.805 -7.622 0.000
2.805 7.622 0.000
0.000 0.000 7.588
Tb Zn Pt
4 6 8
direct
0.111 0.889 0.914
0.389 0.611 0.414
0.611 0.389 0.586
0.889 0.111 0.086
0.000 0.000 0.500
0.021 0.479 0.750
0.479 0.021 0.250
0.500 0.500 0.000
0.521 0.979 0.750
0.979 0.521 0.250
0.177 0.823 0.527
0.191 0.309 0.750
0.309 0.191 0.250
0.323 0.677 0.027
0.677 0.323 0.973
0.691 0.809 0.750
0.809 0.691 0.250
0.823 0.177 0.473

9.
La2Ge3SbAu4 PBE optimized geometry; crystal system = tetragonal; size of the total moment = 0.00 μB per cell; formation energy (no corrections) = -0.592 eV/atom; DOS(E_F) = 3.73 states/eV/cell
1.0
4.530 0.000 0.000
0.000 4.530 0.000
0.000 0.000 11.035
La Ge Sb Au
2 3 1 4
direct
0.000 0.500 0.230
0.500 0.000 0.770
0.000 0.500 0.874
0.500 0.000 0.126
0.500 0.500 0.500
0.000 0.000 0.500
0.000 0.000 0.000
0.000 0.500 0.648
0.500 0.000 0.352
0.500 0.500 0.000

10.
SrLiTl PBE optimized geometry; crystal system = orthorhombic; polymorph energy (0 for the lowest one) = 70.7 meV per atom; size of the total moment = 0.00 μB per cell; ΔH_f (0 K) = -0.2145 eV per atom; DOS(E_F) = 7.62 states/eV/cell
1.0
-2.537 7.478 3.641
2.537 -7.478 3.641
2.537 7.478 -3.641
Sr Li Tl
3 3 3
direct
0.000 0.000 0.000
0.507 0.154 0.353
0.801 0.154 0.647
0.183 0.344 0.839
0.300 0.800 0.500
0.504 0.344 0.161
0.320 0.638 0.682
0.514 0.514 0.000
0.955 0.638 0.318

11.
InHgBr2 PBE optimized geometry; crystal system = tetragonal; polymorph energy (0 for the lowest one) = 234.2 meV per atom; size of the total moment = 0.00 μB per cell; formation energy (no corrections) = -0.329 eV/atom; DOS(E_F) = 1.08 states/eV/cell
1.0
-3.218 3.218 8.387
3.218 -3.218 8.387
3.218 3.218 -8.387
In Hg Br
2 2 4
direct
0.000 0.000 0.000
0.750 0.250 0.500
0.250 0.750 0.500
0.500 0.500 0.000
0.170 0.625 0.045
0.375 0.420 0.545
0.580 0.125 0.955
0.875 0.830 0.455

12.
LiCo2Pd2 PBE optimized geometry; crystal system = tetragonal; polymorph energy (0 for the lowest one) = 105.5 meV per atom; size of the total moment = 4.04 μB per cell; ΔH_f (0 K) = 0.1395 eV per atom; DOS(E_F) = 4.83 states/eV/cell
1.0
-1.631 1.631 6.751
1.631 -1.631 6.751
1.631 1.631 -6.751
Li Co Pd
1 2 2
direct
0.000 0.000 0.000
0.250 0.750 0.500
0.750 0.250 0.500
0.399 0.399 0.000
0.601 0.601 0.000

13.
CaLa3Pr4Te8 PBE optimized geometry; crystal system = trigonal; size of the total moment = 0.00 μB per cell; formation energy (no corrections) = -1.517 eV/atom; DOS(E_F) = 10.09 states/eV/cell
1.0
4.551 2.628 7.424
-4.551 2.628 7.424
0.000 -5.255 7.424
Ca La Pr Te
1 3 4 8
direct
0.000 0.000 0.000
0.000 0.500 0.500
0.500 0.000 0.500
0.500 0.500 0.000
0.000 0.000 0.500
0.000 0.500 0.000
0.500 0.000 0.000
0.500 0.500 0.500
0.245 0.753 0.753
0.247 0.247 0.755
0.247 0.755 0.247
0.249 0.249 0.249
0.751 0.751 0.751
0.753 0.245 0.753
0.753 0.753 0.245
0.755 0.247 0.247

14.
AlSiSe PBE optimized geometry; crystal system = triclinic; size of the total moment = 0.00 μB per cell; formation energy (no corrections) = -0.278 eV/atom
1.0
3.774 0.000 0.000
1.378 5.985 0.000
0.476 1.290 6.640
Al Si Se
2 2 2
direct
0.000 0.000 0.000
0.429 0.565 0.287
0.256 0.609 0.927
0.838 0.415 0.842
0.476 0.965 0.246
0.967 0.381 0.492

15.
ZnNiAu6 PBE optimized geometry; crystal system = tetragonal; size of the total moment = 0.01 μB per cell; ΔH_f (0 K) = -0.0129 eV per atom; DOS(E_F) = 3.85 states/eV/cell
1.0
5.791 0.000 0.000
0.000 5.791 0.000
0.000 0.000 4.024
Zn Ni Au
1 1 6
direct
0.000 0.000 0.000
0.500 0.500 0.000
0.000 0.500 0.000
0.253 0.253 0.500
0.253 0.747 0.500
0.500 0.000 0.000
0.747 0.253 0.500
0.747 0.747 0.500

16.
BaDyY2 PBE optimized geometry; crystal system = trigonal; polymorph energy (0 for the lowest one) = 70.0 meV per atom; size of the total moment = 0.00 μB per cell; ΔH_f (0 K) = 0.2231 eV per atom; DOS(E_F) = 5.80 states/eV/cell
1.0
1.807 1.043 12.874
-1.807 1.043 12.874
0.000 -2.087 12.874
Ba Dy Y
1 1 2
direct
0.000 0.000 0.000
0.500 0.500 0.500
0.094 0.094 0.094
0.906 0.906 0.906

17.
InNi2Rh PBE optimized geometry; crystal system = tetragonal; size of the total moment = 0.99 μB per cell; ΔH_f (0 K) = -0.0800 eV per atom; DOS(E_F) = 4.93 states/eV/cell
1.0
3.822 0.000 0.000
0.000 3.822 0.000
0.000 0.000 3.852
In Ni Rh
1 2 1
direct
0.000 0.000 0.000
0.000 0.500 0.500
0.500 0.000 0.500
0.500 0.500 0.000

18.
LaMg2 PBE optimized geometry; crystal system = tetragonal; size of the total moment = 0.00 μB per cell; ΔH_f (0 K) = -0.0724 eV per atom; DOS(E_F) = 10.12 states/eV/cell
1.0
-2.435 2.435 13.961
2.435 -2.435 13.961
2.435 2.435 -13.961
La Mg
4 8
direct
0.285 0.535 0.750
0.465 0.715 0.750
0.535 0.285 0.250
0.715 0.465 0.250
0.051 0.801 0.250
0.126 0.376 0.750
0.199 0.949 0.250
0.376 0.126 0.250
0.624 0.874 0.750
0.801 0.051 0.750
0.874 0.624 0.250
0.949 0.199 0.750

19.
Sr5CaHg PBE optimized geometry; crystal system = monoclinic; size of the total moment = 0.00 μB per cell; ΔH_f (0 K) = 0.0855 eV per atom; DOS(E_F) = 15.36 states/eV/cell
1.0
6.619 -4.822 0.000
6.619 4.822 0.000
-6.400 0.000 11.547
Sr Ca Hg
10 2 2
direct
0.073 0.927 0.750
0.155 0.373 0.740
0.253 0.539 0.515
0.373 0.155 0.240
0.461 0.747 0.985
0.539 0.253 0.015
0.627 0.845 0.760
0.747 0.461 0.485
0.845 0.627 0.260
0.927 0.073 0.250
0.330 0.670 0.250
0.670 0.330 0.750
0.000 0.000 0.000
0.000 0.000 0.500

20.
CaRe2As PBE optimized geometry; crystal system = tetragonal; size of the total moment = 0.00 μB per cell; ΔH_f (0 K) = 0.5192 eV per atom; DOS(E_F) = 8.88 states/eV/cell
1.0
-2.097 2.097 9.416
2.097 -2.097 9.416
2.097 2.097 -9.416
Ca Re As
2 4 2
direct
0.000 0.000 0.000
0.750 0.250 0.500
0.230 0.625 0.105
0.375 0.480 0.605
0.520 0.125 0.895
0.875 0.770 0.395
0.250 0.750 0.500
0.500 0.500 0.000